Compound: CsIn2Pb4
Source: Alexandria
Functional: GGA-PBE
Structure: relaxed

It has space group Cmmm (No. 65), with a = 5.418 Å, b = 17.060 Å, c = 5.436 Å, α = 90.00°, β = 90.00° and γ = 90.00°. The inequivalent atoms are Cs at (0.000, 0.000, 0.000), In at (0.000, 0.411, 0.500), Pb at (0.000, 0.188, 0.500) and Pb at (0.000, 0.308, 0.000).

For the volume, the calculation gives 35.890 A^3/atom. Its theoretical density is 7.87 g/cm3. The calculation puts the density of states at the Fermi level at 4.72 states/eV/f.u. The formation energy is -27 kJ/mol of formula units. For the total energy, the calculation gives -3.063 eV/atom.

=====

Compound: CsIn3Pb2
Source: Alexandria
Functional: GGA-PBE
Structure: relaxed

It has space group C2/m (No. 12), with a = 20.483 Å, b = 5.173 Å, c = 9.238 Å, α = 90.00°, β = 115.67° and γ = 90.00°. The inequivalent atoms are Cs at (0.142, 0.000, 0.061), In at (0.045, 0.000, 0.400), In at (0.088, 0.500, 0.641), In at (0.188, 0.500, 0.457), Pb at (0.021, 0.500, 0.199) and Pb at (0.199, 0.000, 0.694).

For the volume, the calculation gives 36.760 A^3/atom. Its theoretical density is 6.71 g/cm3. The calculation puts the density of states at the Fermi level at 2.48 states/eV/f.u. The formation energy is -42 kJ/mol of formula units. For the total energy, the calculation gives -2.820 eV/atom.

=====

Compound: CsIn3Pb
Source: Alexandria
Functional: GGA-PBE
Structure: relaxed

It has space group Cmcm (No. 63), with a = 7.468 Å, b = 12.680 Å, c = 7.448 Å, α = 90.00°, β = 90.00° and γ = 90.00°. The inequivalent atoms are Cs at (0.000, 0.248, 0.250), In at (0.000, 0.374, 0.750), In at (0.244, 0.500, 0.000) and Pb at (0.000, 0.132, 0.750).

For the volume, the calculation gives 35.266 A^3/atom. Its theoretical density is 6.45 g/cm3. The calculation puts the density of states at the Fermi level at 1.70 states/eV/f.u. The formation energy is -57 kJ/mol of formula units. For the total energy, the calculation gives -2.673 eV/atom.

=====

Compound: Cs3In2Pb9
Source: Alexandria
Functional: GGA-PBE
Structure: relaxed

It has space group P-3m1 (No. 164), with a = 7.2685 Å, b = 7.2685 Å, c = 12.3308 Å, α = 90.00°, β = 90.00° and γ = 120.00°. The inequivalent atoms are Cs at (0.0000, 0.0000, 0.0000), Cs at (0.3333, 0.6667, 0.2746), In at (0.3333, 0.6667, 0.8056), Pb at (0.0000, 0.5000, 0.0000) and Pb at (0.1740, 0.3479, 0.5958).

For the volume, the calculation gives 40.298 A^3/atom. Its theoretical density is 7.34 g/cm3. The calculation puts the density of states at the Fermi level at 12.46 states/eV/f.u. The formation energy is 43 kJ/mol of formula units. For the total energy, the calculation gives -2.926 eV/atom.

=====

Compound: Cs2In2Pb
Source: Alexandria
Functional: GGA-PBE
Structure: relaxed

It has space group C2/c (No. 15), with a = 13.198 Å, b = 8.605 Å, c = 8.593 Å, α = 90.00°, β = 109.27° and γ = 90.00°. The inequivalent atoms are Cs at (0.179, 0.055, 0.158), In at (0.060, 0.373, 0.433) and Pb at (0.000, 0.299, 0.750).

For the volume, the calculation gives 46.067 A^3/atom. Its theoretical density is 5.07 g/cm3. The calculation puts the density of states at the Fermi level at 1.13 states/eV/f.u. The formation energy is -71 kJ/mol of formula units. For the total energy, the calculation gives -2.327 eV/atom.

=====

Compound: CsIn8Pb2
Source: Alexandria
Functional: GGA-PBE
Structure: relaxed

It has space group P4/mmm (No. 123), with a = 5.547 Å, b = 5.547 Å, c = 12.961 Å, α = 90.00°, β = 90.00° and γ = 90.00°. The inequivalent atoms are Cs at (0.000, 0.000, 0.000), In at (0.000, 0.500, 0.228), In at (0.000, 0.500, 0.500), In at (0.500, 0.500, 0.368) and Pb at (0.000, 0.000, 0.361).

For the volume, the calculation gives 36.251 A^3/atom. Its theoretical density is 6.10 g/cm3. The calculation puts the density of states at the Fermi level at 5.04 states/eV/f.u. The formation energy is 44 kJ/mol of formula units. For the total energy, the calculation gives -2.702 eV/atom.

=====

Compound: CsInPb
Source: Alexandria
Functional: GGA-PBE
Structure: relaxed

It has space group P4/nmm (No. 129, origin choice 2), with a = 5.096 Å, b = 5.096 Å, c = 9.505 Å, α = 90.00°, β = 90.00° and γ = 90.00°. The inequivalent atoms are Cs at (0.250, 0.250, 0.163), In at (0.250, 0.750, 0.500) and Pb at (0.250, 0.250, 0.697).

For the volume, the calculation gives 41.139 A^3/atom. Its theoretical density is 6.12 g/cm3. The calculation puts the density of states at the Fermi level at 1.09 states/eV/f.u. The formation energy is -56 kJ/mol of formula units. For the total energy, the calculation gives -2.627 eV/atom.

=====

Compound: CsIn3Pb4
Source: Alexandria
Functional: GGA-PBE
Structure: relaxed

It has space group P4/mmm (No. 123), with a = 5.309 Å, b = 5.309 Å, c = 10.117 Å, α = 90.00°, β = 90.00° and γ = 90.00°. The inequivalent atoms are Cs at (0.000, 0.000, 0.000), In at (0.000, 0.000, 0.500), In at (0.500, 0.500, 0.148) and Pb at (0.000, 0.500, 0.320).

For the volume, the calculation gives 35.641 A^3/atom. Its theoretical density is 7.61 g/cm3. The calculation puts the density of states at the Fermi level at 4.59 states/eV/f.u. The formation energy is -18 kJ/mol of formula units. For the total energy, the calculation gives -3.010 eV/atom.